1.
Below is a geometry-optimized Pr2BeGe3 structure, with properties calculated at the PBE level.

```
Pr2BeGe3
1.0
0.000 4.298 7.125
4.135 0.000 7.125
4.135 4.298 0.000
Pr Be Ge
4 2 6
Cartesian
4.135 2.090 7.125
2.067 2.149 3.562
6.202 6.447 10.687
4.135 6.506 7.125
4.135 4.298 4.751
4.135 4.298 9.498
4.135 4.298 2.496
6.049 4.298 5.879
6.049 4.298 8.371
2.220 4.298 5.879
2.220 4.298 8.371
4.135 4.298 11.754
```

Output
calculated volume = 253.2 Å³ per cell
energy above the most stable polymorph in this dataset = 0 meV/atom


2.
Below is a geometry-optimized Pr3Be2GePt9 structure, with properties calculated at the PBE level.

```
Pr3Be2GePt9
1.0
5.896 0.000 0.000
-2.948 5.106 0.000
0.000 0.000 9.311
Pr Be Ge Pt
3 2 1 9
Cartesian
0.000 0.000 0.000
0.000 3.404 5.818
2.948 1.702 3.493
0.000 3.404 1.402
2.948 1.702 7.909
0.000 0.000 4.656
-1.474 2.553 0.000
0.000 1.677 2.775
-1.495 4.267 2.775
1.453 0.839 6.536
2.948 0.000 0.000
1.474 2.553 0.000
1.495 4.267 2.775
4.443 0.839 6.536
2.948 3.428 6.536
```

Output
calculated volume = 280.3 Å³ per cell


3.
Below is a geometry-optimized Pr2BeGe4Pt3 structure, with properties calculated at the PBE level.

```
Pr2BeGe4Pt3
1.0
4.321 0.000 0.000
0.000 4.321 0.000
0.000 0.000 10.205
Pr Be Ge Pt
2 1 4 3
Cartesian
0.000 2.161 2.503
2.161 0.000 7.702
2.161 2.161 0.000
0.000 0.000 5.103
0.000 2.161 8.904
2.161 0.000 1.301
2.161 2.161 5.103
0.000 0.000 0.000
0.000 2.161 6.402
2.161 0.000 3.803
```

Output
calculated volume = 190.6 Å³ per cell


4.
Below is a geometry-optimized Pr2Be4Ge3Rh structure, with properties calculated at the PBE level.

```
Pr2Be4Ge3Rh
1.0
4.026 0.000 0.000
0.000 4.026 0.000
0.000 0.000 9.924
Pr Be Ge Rh
2 4 3 1
Cartesian
0.000 2.013 2.460
2.013 0.000 7.465
0.000 0.000 0.000
0.000 2.013 6.195
2.013 0.000 3.729
2.013 2.013 0.000
0.000 2.013 8.625
2.013 0.000 1.299
2.013 2.013 4.962
0.000 0.000 4.962
```

Output
calculated volume = 160.9 Å³ per cell


5.
Below is a geometry-optimized PrBeGe2Rh structure, with properties calculated at the PBE level.

```
PrBeGe2Rh
1.0
4.077 0.000 0.000
0.000 4.077 0.000
0.000 0.000 10.694
Pr Be Ge Rh
2 2 4 2
Cartesian
0.000 0.000 0.000
2.039 2.039 5.347
0.000 2.039 8.020
2.039 0.000 2.673
0.000 0.000 4.036
0.000 0.000 6.658
2.039 2.039 1.311
2.039 2.039 9.382
0.000 2.039 2.673
2.039 0.000 8.020
```

Output
calculated volume = 177.8 Å³ per cell


6.
Below is a geometry-optimized Pr2Be3Ge4Rh structure, with properties calculated at the PBE level.

```
Pr2Be3Ge4Rh
1.0
4.127 0.000 0.000
0.000 4.127 0.000
0.000 0.000 10.055
Pr Be Ge Rh
2 3 4 1
Cartesian
0.000 2.064 2.487
2.064 0.000 7.568
0.000 2.064 8.753
2.064 0.000 1.302
2.064 2.064 5.028
0.000 0.000 0.000
0.000 2.064 6.395
2.064 0.000 3.660
2.064 2.064 0.000
0.000 0.000 5.028
```

Output
calculated volume = 171.3 Å³ per cell


Energy relative to the elements across the listed records, respectively: -665 -786 -806 -474 -620 -475 meV/atom.